{
  "formula": "PrSm12Tl7",
  "functional": "PBE",
  "state": "optimized geometry",
  "lattice": [[6.999, 4.041, 3.984], [-6.999, 4.041, 3.984], [0.000, -8.081, 3.984]],
  "species": ["Pr", "Sm", "Sm", "Sm", "Sm", "Sm", "Sm", "Sm", "Sm", "Sm", "Sm", "Sm", "Sm", "Tl", "Tl", "Tl", "Tl", "Tl", "Tl", "Tl"],
  "fractional_positions": [[0.000, 0.000, 0.000], [0.121, 0.377, 0.448], [0.183, 0.714, 0.312], [0.286, 0.688, 0.817], [0.312, 0.183, 0.714], [0.377, 0.448, 0.121], [0.448, 0.121, 0.377], [0.552, 0.879, 0.623], [0.623, 0.552, 0.879], [0.688, 0.817, 0.286], [0.714, 0.312, 0.183], [0.817, 0.286, 0.688], [0.879, 0.623, 0.552], [0.014, 0.361, 0.060], [0.060, 0.014, 0.361], [0.361, 0.060, 0.014], [0.500, 0.500, 0.500], [0.639, 0.940, 0.986], [0.940, 0.986, 0.639], [0.986, 0.639, 0.940]],
  "dft_energy_ev_per_atom": -3.92,
  "crystal_system": "trigonal"
}